Model 1:
RbAsAuSe2 | GGA-PBE | optimized geometry

Properties
The symmetry is P4/mmm (123).

Unit cell a=5.7905 b=5.7905 c=5.6588 alpha=90.00 beta=90.00 gamma=90.00
Last column: nearest neighbours and their distance in Å.
Fractional positions:
1 Rb 0.0000 0.0000 0.0000  2 As 2.83, 4 Se 2.90
2 As 0.0000 0.0000 0.5000  2 Rb 2.83
3 Au 0.5000 0.5000 0.5000  8 Se 4.05, 4 As 4.09
4 Se 0.0000 0.5000 0.0000  2 Rb 2.90
5 Se 0.5000 0.0000 0.0000  2 Rb 2.90

---

Model 2:
RbAsAuSe2 | GGA-PBE | optimized geometry

Properties
The symmetry is P4/mmm (123).

Unit cell a=5.4386 b=5.4386 c=4.9175 alpha=90.00 beta=90.00 gamma=90.00
Last column: nearest neighbours and their distance in Å.
Fractional positions:
1 Rb 0.0000 0.0000 0.0000  8 Se 3.67, 4 As 3.85
2 As 0.5000 0.5000 0.0000  2 Au 2.46
3 Au 0.5000 0.5000 0.5000  2 As 2.46, 4 Se 2.72
4 Se 0.0000 0.5000 0.5000  2 Au 2.72
5 Se 0.5000 0.0000 0.5000  2 Au 2.72

---

Bottom line: model 2, by a margin of 1.493 eV/atom.

---

Model 1:
ReAsAu3 | GGA-PBE | optimized geometry

Properties
The symmetry is Pm-3m (221).

Unit cell a=5.0034 b=5.0034 c=5.0034 alpha=90.00 beta=90.00 gamma=90.00
Last column: nearest neighbours and their distance in Å.
Fractional positions:
1 Re 0.0000 0.0000 0.0000  6 Au 2.50
2 As 0.5000 0.5000 0.5000  12 Au 3.54
3 Au 0.0000 0.0000 0.5000  2 Re 2.50
4 Au 0.0000 0.5000 0.0000  2 Re 2.50
5 Au 0.5000 0.0000 0.0000  2 Re 2.50

---

Model 2:
ReAsAu3 | GGA-PBE | optimized geometry

Properties
The symmetry is Pm-3m (221).

Unit cell a=4.8693 b=4.8693 c=4.8693 alpha=90.00 beta=90.00 gamma=90.00
Last column: nearest neighbours and their distance in Å.
Fractional positions:
1 Re 0.0000 0.0000 0.0000  12 Au 3.44
2 As 0.5000 0.5000 0.5000  6 Au 2.43
3 Au 0.0000 0.5000 0.5000  2 As 2.43
4 Au 0.5000 0.0000 0.5000  2 As 2.43
5 Au 0.5000 0.5000 0.0000  2 As 2.43

---

Bottom line: model 2, by a margin of 0.119 eV/atom.

---

Model 1:
As2Rh2Au | GGA-PBE | optimized geometry

Properties
The symmetry is P4/mbm (127).

Unit cell a=7.2847 b=7.2847 c=3.0782 alpha=90.00 beta=90.00 gamma=90.00
Last column: nearest neighbours and their distance in Å.
Fractional positions:
1 As 0.1501 0.3499 0.0000  6 Rh 2.61-2.66
2 As 0.3499 0.8499 0.0000  6 Rh 2.61-2.66
3 As 0.6501 0.1501 0.0000  6 Rh 2.61-2.66
4 As 0.8499 0.6501 0.0000  6 Rh 2.61-2.66
5 Rh 0.1398 0.6398 0.5000  6 As 2.61-2.66, 2 Au 2.81, 1 Rh 2.88
6 Rh 0.3602 0.1398 0.5000  6 As 2.61-2.66, 2 Au 2.81, 1 Rh 2.88
7 Rh 0.6398 0.8602 0.5000  6 As 2.61-2.66, 2 Au 2.81, 1 Rh 2.88
8 Rh 0.8602 0.3602 0.5000  6 As 2.61-2.66, 2 Au 2.81, 1 Rh 2.88
9 Au 0.0000 0.0000 0.5000  4 Rh 2.81, 2 Au 3.08
10 Au 0.5000 0.5000 0.5000  4 Rh 2.81, 2 Au 3.08

---

Model 2:
As2Rh2Au | GGA-PBE | optimized geometry

Properties
The symmetry is I4/mmm (139).

Unit cell a=6.4094 b=6.4094 c=6.4094 alpha=144.54 beta=144.54 gamma=51.02
Last column: nearest neighbours and their distance in Å.
Fractional positions:
1 As 0.2500 0.7500 0.5000  4 Rh 2.47, 4 As 2.76
2 As 0.7500 0.2500 0.5000  4 Rh 2.47, 4 As 2.76
3 Rh 0.1185 0.1185 0.0000  4 As 2.47, 1 Rh 2.74
4 Rh 0.8815 0.8815 0.0000  4 As 2.47, 1 Rh 2.74
5 Au 0.5000 0.5000 0.0000  8 Rh 3.08

---

Bottom line: model 1, by a margin of 0.086 eV/atom.